1.
CaPbSe2O6 PBE-GGA relaxed; E_tot = -56.436 eV/f.u.; total magnetic moment = 0.00 μB/f.u.; symmetry = R-3 (148); ΔE_f (raw) = -1401 meV/atom
1.0
2.850 1.645 5.849
-2.850 1.645 5.849
0.000 -3.290 5.849
Ca Pb Se O
1 1 2 6
Direct
0.000 0.000 0.000
0.500 0.500 0.500
0.293 0.293 0.293
0.707 0.707 0.707
0.008 0.453 0.780
0.220 0.992 0.547
0.453 0.780 0.008
0.547 0.220 0.992
0.780 0.008 0.453
0.992 0.547 0.220

2.
CaPb2SeO6 PBE-GGA relaxed; E_tot = -55.934 eV/f.u.; total magnetic moment = 0.00 μB/f.u.; symmetry = P2_1/c (14); ΔE_f (raw) = -1328 meV/atom
1.0
5.919 0.000 0.000
0.000 5.710 0.000
-5.568 0.000 8.134
Ca Pb Se O
2 4 2 12
Direct
0.000 0.000 0.000
0.000 0.500 0.500
0.275 0.006 0.759
0.275 0.494 0.259
0.725 0.506 0.741
0.725 0.994 0.241
0.500 0.000 0.500
0.500 0.500 0.000
0.226 0.007 0.282
0.226 0.493 0.782
0.322 0.225 0.541
0.322 0.275 0.041
0.322 0.733 0.034
0.322 0.767 0.534
0.678 0.233 0.466
0.678 0.267 0.966
0.678 0.725 0.959
0.678 0.775 0.459
0.774 0.507 0.218
0.774 0.993 0.718

3.
CaPbSe2O8 PBE-GGA relaxed; E_tot = -67.209 eV/f.u.; total magnetic moment = 0.00 μB/f.u.; symmetry = R-3 (148); ΔE_f (raw) = -1239 meV/atom
1.0
2.619 1.512 7.524
-2.619 1.512 7.524
0.000 -3.025 7.524
Ca Pb Se O
1 1 2 8
Direct
0.000 0.000 0.000
0.500 0.500 0.500
0.247 0.247 0.247
0.753 0.753 0.753
0.047 0.705 0.439
0.173 0.173 0.173
0.295 0.561 0.953
0.439 0.047 0.705
0.561 0.953 0.295
0.705 0.439 0.047
0.827 0.827 0.827
0.953 0.295 0.561

4.
Ca3PbSe4O12 PBE-GGA relaxed; E_tot = -108.002 eV/f.u.; total magnetic moment = 0.00 μB/f.u.; symmetry = R32 (155); ΔE_f (raw) = -1243 meV/atom
1.0
5.681 3.280 2.900
-5.681 3.280 2.900
0.000 -6.560 2.900
Ca Pb Se O
3 1 4 12
Direct
0.000 0.568 0.432
0.432 0.000 0.568
0.568 0.432 0.000
0.000 0.000 0.000
0.089 0.500 0.911
0.500 0.500 0.500
0.500 0.911 0.089
0.911 0.089 0.500
0.000 0.214 0.326
0.000 0.674 0.786
0.062 0.938 0.500
0.214 0.326 0.000
0.326 0.000 0.214
0.340 0.660 0.500
0.500 0.062 0.938
0.500 0.340 0.660
0.660 0.500 0.340
0.674 0.786 0.000
0.786 0.000 0.674
0.938 0.500 0.062

5.
Ca2Si3Pb3O11 PBE-GGA relaxed; E_tot = -132.009 eV/f.u.; total magnetic moment = 0.00 μB/f.u.; symmetry = P-6 (174); ΔE_f (raw) = -2425 meV/atom
1.0
10.069 0.000 0.000
-5.034 8.720 0.000
0.000 0.000 10.307
Ca Si Pb O
6 9 9 33
Direct
0.000 0.000 0.000
0.000 0.000 0.324
0.000 0.000 0.676
0.667 0.333 0.000
0.667 0.333 0.340
0.667 0.333 0.660
0.309 0.053 0.500
0.357 0.285 0.150
0.357 0.285 0.850
0.715 0.072 0.150
0.715 0.072 0.850
0.745 0.691 0.500
0.928 0.643 0.150
0.928 0.643 0.850
0.947 0.255 0.500
0.056 0.394 0.178
0.056 0.394 0.822
0.080 0.687 0.500
0.313 0.393 0.500
0.338 0.944 0.178
0.338 0.944 0.822
0.606 0.662 0.178
0.606 0.662 0.822
0.607 0.920 0.500
0.021 0.592 0.252
0.021 0.592 0.748
0.069 0.317 0.376
0.069 0.317 0.624
0.179 0.154 0.159
0.179 0.154 0.841
0.200 0.134 0.500
0.248 0.931 0.376
0.248 0.931 0.624
0.405 0.366 0.000
0.408 0.428 0.252
0.408 0.428 0.748
0.471 0.211 0.170
0.471 0.211 0.830
0.489 0.178 0.500
0.572 0.979 0.252
0.572 0.979 0.748
0.634 0.039 0.000
0.683 0.752 0.376
0.683 0.752 0.624
0.689 0.511 0.500
0.740 0.529 0.170
0.740 0.529 0.830
0.789 0.260 0.170
0.789 0.260 0.830
0.822 0.311 0.500
0.846 0.026 0.159
0.846 0.026 0.841
0.866 0.065 0.500
0.935 0.800 0.500
0.961 0.595 0.000
0.974 0.821 0.159
0.974 0.821 0.841

6.
CaSiPbO5 PBE-GGA relaxed; E_tot = -53.290 eV/f.u.; total magnetic moment = 0.00 μB/f.u.; symmetry = C2/c (15); ΔE_f (raw) = -2171 meV/atom
1.0
3.434 -4.603 0.000
3.434 4.603 0.000
-2.831 0.000 6.852
Ca Si Pb O
2 2 2 10
Direct
0.154 0.846 0.750
0.846 0.154 0.250
0.182 0.818 0.250
0.818 0.182 0.750
0.500 0.500 0.000
0.500 0.500 0.500
0.093 0.231 0.913
0.163 0.594 0.359
0.231 0.093 0.413
0.399 0.601 0.750
0.406 0.837 0.141
0.594 0.163 0.859
0.601 0.399 0.250
0.769 0.907 0.587
0.837 0.406 0.641
0.907 0.769 0.087

7.
Ca2Zn3Si3PbO12 PBE-GGA relaxed; E_tot = -137.285 eV/f.u.; total magnetic moment = 0.00 μB/f.u.; symmetry = P2_1/c (14); ΔE_f (raw) = -2380 meV/atom
1.0
8.913 0.000 0.000
0.000 8.381 0.000
-8.903 0.000 15.467
Ca Zn Si Pb O
8 12 12 4 48
Direct
0.164 0.040 0.425
0.164 0.460 0.925
0.172 0.038 0.912
0.172 0.462 0.412
0.828 0.538 0.588
0.828 0.962 0.088
0.836 0.540 0.075
0.836 0.960 0.575
0.168 0.664 0.244
0.168 0.836 0.744
0.176 0.160 0.084
0.176 0.340 0.584
0.485 0.160 0.410
0.485 0.340 0.910
0.515 0.660 0.090
0.515 0.840 0.590
0.824 0.660 0.416
0.824 0.840 0.916
0.832 0.164 0.256
0.832 0.336 0.756
0.145 0.228 0.735
0.145 0.272 0.235
0.178 0.726 0.574
0.178 0.774 0.074
0.472 0.730 0.913
0.472 0.770 0.413
0.528 0.230 0.587
0.528 0.270 0.087
0.822 0.226 0.926
0.822 0.274 0.426
0.855 0.728 0.765
0.855 0.772 0.265
0.495 0.055 0.749
0.495 0.445 0.249
0.505 0.555 0.751
0.505 0.945 0.251
0.032 0.245 0.466
0.032 0.255 0.966
0.070 0.250 0.302
0.070 0.250 0.802
0.072 0.135 0.158
0.072 0.365 0.658
0.097 0.052 0.688
0.097 0.448 0.188
0.218 0.551 0.546
0.218 0.949 0.046
0.263 0.636 0.040
0.263 0.864 0.540
0.271 0.732 0.681
0.271 0.768 0.181
0.321 0.633 0.369
0.321 0.867 0.869
0.360 0.238 0.795
0.360 0.262 0.295
0.376 0.555 0.894
0.376 0.945 0.394
0.396 0.242 0.983
0.396 0.258 0.483
0.405 0.232 0.634
0.405 0.268 0.134
0.595 0.732 0.866
0.595 0.768 0.366
0.604 0.742 0.517
0.604 0.758 0.017
0.624 0.055 0.606
0.624 0.445 0.106
0.640 0.738 0.705
0.640 0.762 0.205
0.679 0.133 0.131
0.679 0.367 0.631
0.729 0.232 0.819
0.729 0.268 0.319
0.737 0.136 0.460
0.737 0.364 0.960
0.782 0.051 0.954
0.782 0.449 0.454
0.903 0.552 0.812
0.903 0.948 0.312
0.928 0.635 0.342
0.928 0.865 0.842
0.930 0.750 0.198
0.930 0.750 0.698
0.968 0.745 0.034
0.968 0.755 0.534

8.
Ca3SmPb2O PBE-GGA relaxed; E_tot = -31.554 eV/f.u.; total magnetic moment = 0.00 μB/f.u.; symmetry = Immm (71); ΔE_f (raw) = -1208 meV/atom
1.0
-2.356 2.434 8.453
2.356 -2.434 8.453
2.356 2.434 -8.453
Ca Sm Pb O
3 1 2 1
Direct
0.000 0.000 0.000
0.169 0.669 0.500
0.831 0.331 0.500
0.500 0.500 0.000
0.363 0.863 0.500
0.637 0.137 0.500
0.000 0.500 0.500

9.
Ca2SnPbO PBE-GGA relaxed; E_tot = -22.715 eV/f.u.; total magnetic moment = 0.00 μB/f.u.; symmetry = P4/mmm (123); ΔE_f (raw) = -1209 meV/atom
1.0
4.827 0.000 0.000
0.000 4.827 0.000
0.000 0.000 5.121
Ca Sn Pb O
2 1 1 1
Direct
0.000 0.500 0.000
0.500 0.000 0.000
0.000 0.000 0.500
0.500 0.500 0.500
0.500 0.500 0.000

10.
Ca2SnPbO6 PBE-GGA relaxed; E_tot = -61.437 eV/f.u.; total magnetic moment = 0.00 μB/f.u.; symmetry = P2_1/c (14); ΔE_f (raw) = -1997 meV/atom
1.0
5.668 0.000 0.000
0.000 5.874 0.000
-5.661 0.000 8.133
Ca Sn Pb O
4 2 2 12
Direct
0.233 0.057 0.249
0.233 0.443 0.749
0.767 0.557 0.251
0.767 0.943 0.751
0.500 0.000 0.000
0.500 0.500 0.500
0.000 0.000 0.500
0.000 0.500 0.000
0.139 0.191 0.939
0.139 0.309 0.439
0.248 0.705 0.934
0.248 0.795 0.434
0.377 0.054 0.757
0.377 0.446 0.257
0.623 0.554 0.743
0.623 0.946 0.243
0.752 0.205 0.566
0.752 0.295 0.066
0.861 0.691 0.561
0.861 0.809 0.061

11.
SrCa2PbO4 PBE-GGA relaxed; E_tot = -47.320 eV/f.u.; total magnetic moment = 0.00 μB/f.u.; symmetry = Cmcm (63); ΔE_f (raw) = -2262 meV/atom
1.0
1.699 -6.743 0.000
1.699 6.743 0.000
0.000 0.000 11.434
Sr Ca Pb O
2 4 2 8
Direct
0.236 0.764 0.750
0.764 0.236 0.250
0.369 0.631 0.006
0.369 0.631 0.494
0.631 0.369 0.506
0.631 0.369 0.994
0.026 0.974 0.250
0.974 0.026 0.750
0.000 0.000 0.000
0.000 0.000 0.500
0.209 0.791 0.104
0.209 0.791 0.396
0.409 0.591 0.250
0.591 0.409 0.750
0.791 0.209 0.604
0.791 0.209 0.896

12.
Sr2CaPbO5 PBE-GGA relaxed; E_tot = -53.257 eV/f.u.; total magnetic moment = 0.00 μB/f.u.; symmetry = Cmcm (63); ΔE_f (raw) = -2155 meV/atom
1.0
1.774 -7.874 0.000
1.774 7.874 0.000
0.000 0.000 9.977
Sr Ca Pb O
4 2 2 10
Direct
0.120 0.880 0.526
0.120 0.880 0.974
0.880 0.120 0.026
0.880 0.120 0.474
0.484 0.516 0.750
0.516 0.484 0.250
0.233 0.767 0.250
0.767 0.233 0.750
0.095 0.905 0.250
0.277 0.723 0.605
0.277 0.723 0.895
0.371 0.629 0.250
0.500 0.500 0.000
0.500 0.500 0.500
0.629 0.371 0.750
0.723 0.277 0.105
0.723 0.277 0.395
0.905 0.095 0.750

13.
Ca2TaPbO6 PBE-GGA relaxed; E_tot = -74.109 eV/f.u.; total magnetic moment = 0.00 μB/f.u.; symmetry = R3 (146); ΔE_f (raw) = -2480 meV/atom
1.0
2.885 1.666 5.040
-2.885 1.666 5.040
0.000 -3.332 5.040
Ca Ta Pb O
2 1 1 6
Direct
0.000 0.000 0.000
0.493 0.493 0.493
0.785 0.785 0.785
0.273 0.273 0.273
0.038 0.448 0.684
0.142 0.892 0.598
0.448 0.684 0.038
0.598 0.142 0.892
0.684 0.038 0.448
0.892 0.598 0.142

14.
CaTaPb2O6 PBE-GGA relaxed; E_tot = -71.711 eV/f.u.; total magnetic moment = 0.00 μB/f.u.; symmetry = P2_1/c (14); ΔE_f (raw) = -2069 meV/atom
1.0
5.797 0.000 0.000
0.000 6.014 0.000
-5.751 0.000 8.377
Ca Ta Pb O
2 2 4 12
Direct
0.000 0.000 0.000
0.000 0.500 0.500
0.500 0.000 0.500
0.500 0.500 0.000
0.238 0.040 0.747
0.238 0.460 0.247
0.762 0.540 0.753
0.762 0.960 0.253
0.165 0.175 0.451
0.165 0.325 0.951
0.272 0.719 0.440
0.272 0.781 0.940
0.379 0.043 0.271
0.379 0.457 0.771
0.621 0.543 0.229
0.621 0.957 0.729
0.728 0.219 0.060
0.728 0.281 0.560
0.835 0.675 0.049
0.835 0.825 0.549